First-principles (PBE-GGA) data for a relaxed structure of La2YCl, as listed in the Alexandria database.

Output
Energy relative to the elements, uncorrected: -679 meV/atom
Space group: R-3m, No. 166
Energy: -20.882 eV/cell
Energy above the lowest structure with this stoichiometry: 0 meV per atom
Magnetization: 0.0 μB/f.u.

a b c (Å): 10.7613 10.7613 10.7613
angles (deg): 20.05 20.05 20.05
Closest atoms and distances in Å follow each position.
Atoms (fractional coordinates):
Cl: 0.7500 0.7500 0.7500  6 La 3.16
La: 0.0104 0.0104 0.0104  3 Cl 3.16
La: 0.4896 0.4896 0.4896  3 Cl 3.16
Y: 0.2500 0.2500 0.2500  6 La 3.67, 6 Y 3.75